a.
# Sc3AgH, optimized geometry, DFT PBE-GGA
data_Sc3AgH
_cell_length_a 4.4565
_cell_length_b 4.4565
_cell_length_c 4.4565
_cell_angle_alpha 90.00
_cell_angle_beta 90.00
_cell_angle_gamma 90.00
_symmetry_space_group_name_H-M 'P m -3 m'
_symmetry_Int_Tables_number 221
_symmetry_space_group_name_Hall '-P 4 2 3'
loop_
_atom_site_label
_atom_site_type_symbol
_atom_site_fract_x
_atom_site_fract_y
_atom_site_fract_z
Sc1 Sc 0.0000 0.0000 0.5000
Ag1 Ag 0.5000 0.5000 0.5000
H1 H 0.0000 0.0000 0.0000
# magnetization = 0.530 μB/atom

***

b.
# Sc3AgH, optimized geometry, DFT PBE-GGA
data_Sc3AgH
_cell_length_a 5.2086
_cell_length_b 5.2086
_cell_length_c 5.2086
_cell_angle_alpha 90.00
_cell_angle_beta 90.00
_cell_angle_gamma 90.00
_symmetry_space_group_name_H-M 'P m -3 m'
_symmetry_Int_Tables_number 221
_symmetry_space_group_name_Hall '-P 4 2 3'
loop_
_atom_site_label
_atom_site_type_symbol
_atom_site_fract_x
_atom_site_fract_y
_atom_site_fract_z
Sc1 Sc 0.0000 0.0000 0.5000
Ag1 Ag 0.0000 0.0000 0.0000
H1 H 0.5000 0.5000 0.5000
# magnetization = 0.000 μB/atom

***

Of them, the most stable is a and the least stable is b.

***

a.
# Sc2ZnAgH, optimized geometry, DFT PBE-GGA
data_Sc2ZnAgH
_cell_length_a 4.4494
_cell_length_b 4.4494
_cell_length_c 4.0257
_cell_angle_alpha 90.00
_cell_angle_beta 90.00
_cell_angle_gamma 90.00
_symmetry_space_group_name_H-M 'P 4/m m m'
_symmetry_Int_Tables_number 123
_symmetry_space_group_name_Hall '-P 4 2'
loop_
_atom_site_label
_atom_site_type_symbol
_atom_site_fract_x
_atom_site_fract_y
_atom_site_fract_z
Sc1 Sc 0.0000 0.5000 0.0000
Zn1 Zn 0.0000 0.0000 0.5000
Ag1 Ag 0.5000 0.5000 0.5000
H1 H 0.5000 0.5000 0.0000
# magnetization = 0.125 μB/atom

***

b.
# Sc2ZnAgH, optimized geometry, DFT PBE-GGA
data_Sc2ZnAgH
_cell_length_a 4.5432
_cell_length_b 4.5432
_cell_length_c 3.8349
_cell_angle_alpha 90.00
_cell_angle_beta 90.00
_cell_angle_gamma 90.00
_symmetry_space_group_name_H-M 'P 4/m m m'
_symmetry_Int_Tables_number 123
_symmetry_space_group_name_Hall '-P 4 2'
loop_
_atom_site_label
_atom_site_type_symbol
_atom_site_fract_x
_atom_site_fract_y
_atom_site_fract_z
Sc1 Sc 0.0000 0.5000 0.0000
Zn1 Zn 0.0000 0.0000 0.5000
Ag1 Ag 0.5000 0.5000 0.5000
H1 H 0.0000 0.0000 0.0000
# magnetization = 0.144 μB/atom

***

Of them, the most stable is b and the least stable is a.